# AlPCl2 | Alexandria | GGA-PBE | optimized geometry
data_AlPCl2
_chemical_formula_sum 'Al1 P1 Cl2'
_symmetry_space_group_name_H-M 'P m m m'
_symmetry_Int_Tables_number 47
_symmetry_space_group_name_Hall '-P 2 2'
_cell_length_a 3.114
_cell_length_b 4.150
_cell_length_c 5.946
_cell_angle_alpha 90.00
_cell_angle_beta 90.00
_cell_angle_gamma 90.00
loop_
_atom_site_label
_atom_site_type_symbol
_atom_site_fract_x
_atom_site_fract_y
_atom_site_fract_z
Al1 Al 0.000 0.000 0.000
P1 P 0.000 0.000 0.500
Cl1 Cl 0.500 0.500 0.249
# DFT total energy, eV per atom: -2.79
# Raw formation energy, eV per atom: 0.423


# SnPdN2O | Alexandria | GGA-PBE | optimized geometry
data_SnPdN2O
_chemical_formula_sum 'Sn1 Pd1 N2 O1'
_symmetry_space_group_name_H-M 'P 4/m m m'
_symmetry_Int_Tables_number 123
_symmetry_space_group_name_Hall '-P 4 2'
_cell_length_a 3.964
_cell_length_b 3.964
_cell_length_c 4.156
_cell_angle_alpha 90.00
_cell_angle_beta 90.00
_cell_angle_gamma 90.00
loop_
_atom_site_label
_atom_site_type_symbol
_atom_site_fract_x
_atom_site_fract_y
_atom_site_fract_z
Sn1 Sn 0.000 0.000 0.000
Pd1 Pd 0.500 0.500 0.500
N1 N 0.000 0.500 0.500
O1 O 0.500 0.500 0.000
# DFT total energy, eV per atom: -5.17
# Raw formation energy, eV per atom: 0.987


# SnRh3O | Alexandria | GGA-PBE | optimized geometry
data_SnRh3O
_chemical_formula_sum 'Sn1 Rh3 O1'
_symmetry_space_group_name_H-M 'P m -3 m'
_symmetry_Int_Tables_number 221
_symmetry_space_group_name_Hall '-P 4 2 3'
_cell_length_a 4.194
_cell_length_b 4.194
_cell_length_c 4.194
_cell_angle_alpha 90.00
_cell_angle_beta 90.00
_cell_angle_gamma 90.00
loop_
_atom_site_label
_atom_site_type_symbol
_atom_site_fract_x
_atom_site_fract_y
_atom_site_fract_z
Sn1 Sn 0.000 0.000 0.000
Rh1 Rh 0.000 0.500 0.500
O1 O 0.500 0.500 0.500
# DFT total energy, eV per atom: -6.18
# Raw formation energy, eV per atom: 0.026


# InIrBr2 | Alexandria | GGA-PBE | optimized geometry
data_InIrBr2
_chemical_formula_sum 'In2 Ir2 Br4'
_symmetry_space_group_name_H-M 'I m m 2'
_symmetry_Int_Tables_number 44
_symmetry_space_group_name_Hall 'I 2 -2'
_cell_length_a 3.373
_cell_length_b 8.427
_cell_length_c 9.338
_cell_angle_alpha 90.00
_cell_angle_beta 90.00
_cell_angle_gamma 90.00
loop_
_atom_site_label
_atom_site_type_symbol
_atom_site_fract_x
_atom_site_fract_y
_atom_site_fract_z
In1 In 0.000 0.000 0.000
Ir1 Ir 0.000 0.500 0.278
Br1 Br 0.000 0.000 0.595
Br2 Br 0.000 0.500 0.726
# DFT total energy, eV per atom: -3.53
# Raw formation energy, eV per atom: 0.204


# Mg2HIr | Alexandria | GGA-PBE | optimized geometry
data_Mg2HIr
_chemical_formula_sum 'Mg4 H2 Ir2'
_symmetry_space_group_name_H-M 'I 4 m m'
_symmetry_Int_Tables_number 107
_symmetry_space_group_name_Hall 'I 4 -2'
_cell_length_a 3.271
_cell_length_b 3.271
_cell_length_c 10.083
_cell_angle_alpha 90.00
_cell_angle_beta 90.00
_cell_angle_gamma 90.00
loop_
_atom_site_label
_atom_site_type_symbol
_atom_site_fract_x
_atom_site_fract_y
_atom_site_fract_z
Mg1 Mg 0.000 0.000 0.000
Mg2 Mg 0.000 0.000 0.284
H1 H 0.000 0.000 0.484
Ir1 Ir 0.000 0.000 0.653
# DFT total energy, eV per atom: -4.17


# CeSbAs | Alexandria | GGA-PBE | optimized geometry
data_CeSbAs
_chemical_formula_sum 'Ce2 Sb2 As2'
_symmetry_space_group_name_H-M 'I 4 m m'
_symmetry_Int_Tables_number 107
_symmetry_space_group_name_Hall 'I 4 -2'
_cell_length_a 4.051
_cell_length_b 4.051
_cell_length_c 10.014
_cell_angle_alpha 90.00
_cell_angle_beta 90.00
_cell_angle_gamma 90.00
loop_
_atom_site_label
_atom_site_type_symbol
_atom_site_fract_x
_atom_site_fract_y
_atom_site_fract_z
Ce1 Ce 0.000 0.000 0.000
Sb1 Sb 0.000 0.000 0.671
As1 As 0.000 0.000 0.406
# DFT total energy, eV per atom: -5.63
# Raw formation energy, eV per atom: -0.724


# La3Er3CuS8 | Alexandria | GGA-PBE | optimized geometry
data_La3Er3CuS8
_chemical_formula_sum 'La9 Er9 Cu3 S24'
_symmetry_space_group_name_H-M 'R -3 m'
_symmetry_Int_Tables_number 166
_symmetry_space_group_name_Hall '-R 3 2"'
_cell_length_a 7.8911
_cell_length_b 7.8911
_cell_length_c 19.7174
_cell_angle_alpha 90.00
_cell_angle_beta 90.00
_cell_angle_gamma 120.00
loop_
_atom_site_label
_atom_site_type_symbol
_atom_site_fract_x
_atom_site_fract_y
_atom_site_fract_z
La1 La 0.0000 0.5000 0.0000
Er1 Er 0.0000 0.5000 0.5000
Cu1 Cu 0.0000 0.0000 0.5000
S1 S 0.0000 0.0000 0.2427
S2 S 0.0017 0.5009 0.2425
# DFT total energy, eV per atom: -6.22
# Raw formation energy, eV per atom: -1.852


# InHgSe2 | Alexandria | GGA-PBE | optimized geometry
data_InHgSe2
_chemical_formula_sum 'In1 Hg1 Se2'
_symmetry_space_group_name_H-M 'P m m m'
_symmetry_Int_Tables_number 47
_symmetry_space_group_name_Hall '-P 2 2'
_cell_length_a 4.125
_cell_length_b 4.141
_cell_length_c 5.943
_cell_angle_alpha 90.00
_cell_angle_beta 90.00
_cell_angle_gamma 90.00
loop_
_atom_site_label
_atom_site_type_symbol
_atom_site_fract_x
_atom_site_fract_y
_atom_site_fract_z
In1 In 0.000 0.000 0.000
Hg1 Hg 0.500 0.500 0.000
Se1 Se 0.000 0.500 0.500
Se2 Se 0.500 0.000 0.500
# DFT total energy, eV per atom: -2.41
# Raw formation energy, eV per atom: 0.088